An optimized crystal structure of BaNaSr2Ru, computed with PBE-GGA.

Summary:
V ... 210.5 Å³ per cell
E ... -14.9 eV for the cell shown
E_form ... 0.197 eV/atom

Unit cell a=5.9861 b=5.9861 c=5.8732 alpha=90.00 beta=90.00 gamma=90.00
With the nearest neighbours (Å) after each atom.
Fractional positions:
Ru1 0.0000 0.0000 0.0000  2 Ba 2.94, 4 Sr 2.99
Ba1 0.0000 0.0000 0.5000  2 Ru 2.94
Sr1 0.5000 0.0000 0.0000  2 Ru 2.99
Na1 0.5000 0.5000 0.5000  8 Sr 4.19, 4 Ba 4.23
Sr2 0.0000 0.5000 0.0000  2 Ru 2.99